1.
A plane-wave DFT calculation with GGA-PBEsol was carried out for a relaxed structure of YCu2As.

Computed properties:
total energy: -5.36 eV/atom
ΔH_f (0 K): -0.21 eV per atom
space group: P4mm, No. 99

CIF file:
```
data_YCu2As
_chemical_formula_sum 'Y1 Cu2 As1'
_cell_length_a 3.246
_cell_length_b 3.246
_cell_length_c 6.280
_cell_angle_alpha 90.00
_cell_angle_beta 90.00
_cell_angle_gamma 90.00
_space_group_name_H-M_alt 'P 1'
_space_group_IT_number 1
_space_group_name_Hall 'P 1'
loop_
_atom_site_label
_atom_site_fract_x
_atom_site_fract_y
_atom_site_fract_z
Y1 0.000 0.000 0.000
Cu1 0.000 0.000 0.522
Cu2 0.500 0.500 0.701
As1 0.500 0.500 0.309
```



2.
A plane-wave DFT calculation with GGA-PBEsol was carried out for a relaxed structure of CaAsP2.

Computed properties:
total energy: -4.92 eV/atom
ΔH_f (0 K): -0.21 eV per atom
space group: Pmmm, No. 47

CIF file:
```
data_CaAsP2
_chemical_formula_sum 'Ca1 As1 P2'
_cell_length_a 3.568
_cell_length_b 3.802
_cell_length_c 5.559
_cell_angle_alpha 90.00
_cell_angle_beta 90.00
_cell_angle_gamma 90.00
_space_group_name_H-M_alt 'P 1'
_space_group_IT_number 1
_space_group_name_Hall 'P 1'
loop_
_atom_site_label
_atom_site_fract_x
_atom_site_fract_y
_atom_site_fract_z
Ca1 0.000 0.000 0.000
As1 0.000 0.000 0.500
P1 0.500 0.500 0.302
P2 0.500 0.500 0.698
```



> Which formula does entry 1 have?

YCu2As